# Sm4CoHg

A relaxed Sm4CoHg crystal (GGA-PBE, the Alexandria database).

The density of states at the Fermi level is 72.4 states/eV/cell. The calculation puts the calculated formation energy at -0.26 eV per atom. The magnetic moment is 0.00 μB per cell.

The space group is F-43m (No. 216) and the conventional cell measures 13.661, 13.661 and 13.661 Å, with angles of 90.00, 90.00 and 90.00 degrees. Symmetry generates all atoms from Sm at (0.000, 0.000, 0.189), Sm at (0.061, 0.250, 0.250), Sm at (0.098, 0.098, 0.598), Co at (0.109, 0.109, 0.391) and Hg at (0.167, 0.167, 0.833).

***

# Cs3Rb4AgCl8

A relaxed Cs3Rb4AgCl8 crystal (GGA-PBE, the Alexandria database).

The density of states at the Fermi level is 0.0 states/eV/cell. The uncorrected formation energy comes out at -1721 meV/atom. The magnetic moment is 0.00 μB per cell.

The space group is C2/m (No. 12) and the conventional cell measures 16.703, 9.481 and 9.389 Å, with angles of 90.00, 123.71 and 90.00 degrees. Symmetry generates all atoms from Cs at (0.000, 0.000, 0.000), Cs at (0.250, 0.250, 0.000), Rb at (0.000, 0.000, 0.500), Rb at (0.000, 0.500, 0.500), Rb at (0.250, 0.250, 0.500), Ag at (0.000, 0.500, 0.000), Cl at (0.004, 0.291, 0.221), Cl at (0.225, 0.000, 0.714) and Cl at (0.245, 0.500, 0.734).

***

# BaScTi3

A relaxed BaScTi3 crystal (GGA-PBE, the Alexandria database).

The density of states at the Fermi level is 9.3 states/eV/cell. The calculation puts the calculated formation energy at 1.06 eV per atom. The magnetic moment is 4.36 μB per cell.

The space group is Pm-3m (No. 221) and the conventional cell measures 5.151, 5.151 and 5.151 Å, with angles of 90.00, 90.00 and 90.00 degrees. Symmetry generates all atoms from Ba at (0.000, 0.000, 0.000), Sc at (0.500, 0.500, 0.500) and Ti at (0.000, 0.500, 0.500).

***

# KHoBeO3

A relaxed KHoBeO3 crystal (GGA-PBE, the Alexandria database).

The density of states at the Fermi level is 0.0 states/eV/cell. The uncorrected formation energy comes out at -2689 meV/atom. The magnetic moment is 0.00 μB per cell.

The space group is P2_1/m (No. 11) and the conventional cell measures 7.492, 3.352 and 7.610 Å, with angles of 90.00, 106.70 and 90.00 degrees. Symmetry generates all atoms from K at (0.217, 0.250, 0.189), Ho at (0.165, 0.250, 0.659), Be at (0.396, 0.750, 0.935), O at (0.146, 0.750, 0.457), O at (0.179, 0.750, 0.865) and O at (0.468, 0.250, 0.862).